VASP calculation (GGA-PBE) on a relaxed structure of Ac2Zn3CuRh4.

Calculated values
Its energy of formation from the pure elements is -42.3 kJ per mole of atoms. The value obtained for the density of states at the Fermi level is 7.6 states/eV/f.u. Its symmetry is P-4m2. The value obtained for the mass density is 9.53 g/cm3. The uncorrected energy comes out at -49.9 eV/f.u. The value obtained for the total magnetization is 0.0 μB per formula unit.

a = 4.365 Å, b = 4.365 Å, c = 10.297 Å
α = 90.00°, β = 90.00°, γ = 90.00°
Element x y z (fractional)
Ac 0.000 0.500 0.245
Ac 0.500 0.000 0.755
Zn 0.000 0.500 0.876
Zn 0.500 0.000 0.124
Zn 0.500 0.500 0.500
Cu 0.000 0.000 0.500
Rh 0.000 0.000 0.000
Rh 0.000 0.500 0.632
Rh 0.500 0.000 0.368
Rh 0.500 0.500 0.000